Compound: NaLiYTc2
Source: Alexandria via LeMat-Bulk
Functional: meta-GGA SCAN
Structure: PBEsol geometry

```
NaLiYTc2
1.0
4.717 0.000 0.000
0.000 4.717 0.000
0.000 0.000 5.016
Na Li Y Tc
1 1 1 2
direct
0.000 0.000 0.000
0.500 0.500 0.500
0.000 0.000 0.500
0.000 0.500 0.000
0.500 0.000 0.000
```

ΔH_f (0 K) (eV/atom): 1.851
Crystal system: tetragonal